Entry 1:
DFT (PBE) results for a relaxed LiTiSe2 crystal.

Structure (CIF):
```
data_LiTiSe2
_chemical_formula_sum 'Li4 Ti4 Se8'
_space_group_name_H-M_alt 'F m -3 m'
_space_group_IT_number 225
_space_group_name_Hall '-F 4 2 3'
_cell_length_a 6.557
_cell_length_b 6.557
_cell_length_c 6.557
_cell_angle_alpha 90.00
_cell_angle_beta 90.00
_cell_angle_gamma 90.00
loop_
_atom_site_label
_atom_site_type_symbol
_atom_site_fract_x
_atom_site_fract_y
_atom_site_fract_z
Li1 Li 0.000 0.000 0.000
Ti1 Ti 0.000 0.000 0.500
Se1 Se 0.250 0.250 0.250
```

Values from the calculation:
DFT total energy = -4.98 eV/atom
Formation energy without anion corrections = -0.78 eV/atom

=====

Entry 2:
DFT (PBE) results for a relaxed NaMg2POs crystal.

Structure (CIF):
```
data_NaMg2POs
_chemical_formula_sum 'Na1 Mg2 P1 Os1'
_space_group_name_H-M_alt 'P 4/m m m'
_space_group_IT_number 123
_space_group_name_Hall '-P 4 2'
_cell_length_a 5.136
_cell_length_b 5.136
_cell_length_c 4.444
_cell_angle_alpha 90.00
_cell_angle_beta 90.00
_cell_angle_gamma 90.00
loop_
_atom_site_label
_atom_site_type_symbol
_atom_site_fract_x
_atom_site_fract_y
_atom_site_fract_z
Na1 Na 0.000 0.000 0.000
Mg1 Mg 0.000 0.500 0.500
P1 P 0.500 0.500 0.000
Os1 Os 0.500 0.500 0.500
```

Values from the calculation:
DFT total energy = -4.26 eV/atom